Material: Rb2SrP2O7
Method: DFT, PBE
State: relaxed

As for the polymorph energy (0 for the lowest one): 0.00 eV per formula unit. Its raw formation energy is -2.510 eV/atom.

Structure (CIF):
```
data_Rb2SrP2O7
_chemical_formula_sum 'Rb8 Sr4 P8 O28'
_symmetry_space_group_name_H-M 'C 1 2/c 1'
_symmetry_Int_Tables_number 15
_cell_length_a 10.4099
_cell_length_b 5.9563
_cell_length_c 13.7007
_cell_angle_alpha 90.00
_cell_angle_beta 106.77
_cell_angle_gamma 90.00
loop_
_symmetry_equiv_pos_as_xyz
'x,y,z'
'-x,-y,-z'
'-x,y,-z+1/2'
'x,-y,z+1/2'
'x+1/2,y+1/2,z'
'-x+1/2,-y+1/2,-z'
'-x+1/2,y+1/2,-z+1/2'
'x+1/2,-y+1/2,z+1/2'
loop_
_atom_site_label
_atom_site_fract_x
_atom_site_fract_y
_atom_site_fract_z
Rb1 0.1475 0.2206 0.1647
Sr1 0.2500 0.2500 0.5000
P1 0.0271 0.2724 0.8647
O1 0.0000 0.1600 0.7500
O2 0.1016 0.4952 0.8662
O3 0.1100 0.0903 0.9332
O4 0.1138 0.3033 0.6224
```